A relaxed VFeNO2 crystal, computed with GGA+U.

space group	No. 123
uncorrected energy	-6.868	eV per atom
volume	10.82	Å³/atom

a = 3.728 Å, b = 3.728 Å, c = 3.894 Å
α = 90.00°, β = 90.00°, γ = 90.00°
Fractional coordinates of all 5 atoms:
1 V 0.000 0.000 0.000
2 Fe 0.500 0.500 0.500
3 N 0.000 0.000 0.500
4 O 0.000 0.500 0.000
5 O 0.500 0.000 0.000